No. 1
Material: NaTbCu3Se4
Method: DFT, PBE-GGA
State: relaxed

The calculated total energy is -73.9 eV/cell. As for the energy above the most stable polymorph in this dataset: 0 meV per atom.

The space group is P2_1/m (No. 11) and the conventional cell measures 5.921, 7.450 and 9.864 Å, with angles of 90.00, 106.10 and 90.00 degrees. The inequivalent atoms are Na at (0.214, 0.250, 0.410), Tb at (0.081, 0.250, 0.806), Cu at (0.300, 0.569, 0.021), Cu at (0.446, 0.750, 0.269), Se at (0.046, 0.250, 0.082), Se at (0.255, 0.750, 0.448) and Se at (0.382, 0.523, 0.782).


No. 2
Material: NaCuTcTeSe2
Method: DFT, PBE-GGA
State: relaxed

The calculated total energy is -109.8 eV/cell.

The space group is Cmcm (No. 63) and the conventional cell measures 3.684, 14.231 and 10.016 Å, with angles of 90.00, 90.00 and 90.00 degrees. The inequivalent atoms are Na at (0.000, 0.221, 0.250), Cu at (0.000, 0.461, 0.750), Tc at (0.000, 0.000, 0.000), Te at (0.000, 0.089, 0.750) and Se at (0.000, 0.376, 0.545).


No. 3
Material: NaCu2TeSe
Method: DFT, PBE-GGA
State: relaxed

The calculated total energy is -17.4 eV/cell.

The space group is P3m1 (No. 156) and the conventional cell measures 4.0250, 4.0250 and 7.5543 Å, with angles of 90.00, 90.00 and 120.00 degrees. The inequivalent atoms are Na at (0.0000, 0.0000, 0.0000), Cu at (0.3333, 0.6667, 0.6498), Cu at (0.6667, 0.3333, 0.4496), Te at (0.3333, 0.6667, 0.2964) and Se at (0.6667, 0.3333, 0.7680).


No. 4
Material: NaCuTe2WSe
Method: DFT, PBE-GGA
State: relaxed

The calculated total energy is -114.1 eV/cell.

The space group is Cmcm (No. 63) and the conventional cell measures 3.735, 14.730 and 9.992 Å, with angles of 90.00, 90.00 and 90.00 degrees. The inequivalent atoms are Na at (0.000, 0.243, 0.250), Cu at (0.000, 0.032, 0.750), Te at (0.000, 0.137, 0.544), W at (0.000, 0.500, 0.000) and Se at (0.000, 0.429, 0.750).


No. 5
Material: NaCuTeWSe2
Method: DFT, PBE-GGA
State: relaxed

The calculated total energy is -118.5 eV/cell.

The space group is Cmcm (No. 63) and the conventional cell measures 3.566, 14.553 and 9.995 Å, with angles of 90.00, 90.00 and 90.00 degrees. The inequivalent atoms are Na at (0.000, 0.222, 0.250), Cu at (0.000, 0.461, 0.750), Te at (0.000, 0.092, 0.750), W at (0.000, 0.000, 0.000) and Se at (0.000, 0.375, 0.549).


No. 6
Material: NaZrCuTeSe2
Method: DFT, PBE-GGA
State: relaxed

The calculated total energy is -117.4 eV/cell.

The space group is Cmcm (No. 63) and the conventional cell measures 3.879, 14.216 and 10.521 Å, with angles of 90.00, 90.00 and 90.00 degrees. The inequivalent atoms are Na at (0.000, 0.218, 0.250), Zr at (0.000, 0.000, 0.000), Cu at (0.000, 0.475, 0.750), Te at (0.000, 0.098, 0.750) and Se at (0.000, 0.374, 0.564).


No. 7
Material: NaZrCuTeSe2
Method: DFT, PBE-GGA
State: relaxed

The calculated total energy is -117.4 eV/cell.

The space group is Pnma (No. 62) and the conventional cell measures 13.907, 3.927 and 10.523 Å, with angles of 90.00, 90.00 and 90.00 degrees. The inequivalent atoms are Na at (0.230, 0.250, 0.030), Zr at (0.006, 0.250, 0.325), Cu at (0.009, 0.750, 0.093), Te at (0.151, 0.750, 0.254), Se at (0.100, 0.750, 0.882) and Se at (0.101, 0.250, 0.566).


No. 8
Material: NaTlCu2Se2
Method: DFT, PBE-GGA
State: relaxed

The calculated total energy is -20.8 eV/cell.

The space group is P-3m1 (No. 164) and the conventional cell measures 4.1330, 4.1330 and 9.0852 Å, with angles of 90.00, 90.00 and 120.00 degrees. The inequivalent atoms are Na at (0.0000, 0.0000, 0.0000), Tl at (0.0000, 0.0000, 0.5000), Cu at (0.3333, 0.6667, 0.2441) and Se at (0.3333, 0.6667, 0.7743).


Copy entry 5 word for word.
Material: NaCuTeWSe2
Method: DFT, PBE-GGA
State: relaxed

The calculated total energy is -118.5 eV/cell.

The space group is Cmcm (No. 63) and the conventional cell measures 3.566, 14.553 and 9.995 Å, with angles of 90.00, 90.00 and 90.00 degrees. The inequivalent atoms are Na at (0.000, 0.222, 0.250), Cu at (0.000, 0.461, 0.750), Te at (0.000, 0.092, 0.750), W at (0.000, 0.000, 0.000) and Se at (0.000, 0.375, 0.549).


What did the fifth record say?
Material: NaCuTeWSe2
Method: DFT, PBE-GGA
State: relaxed

The calculated total energy is -118.5 eV/cell.

The space group is Cmcm (No. 63) and the conventional cell measures 3.566, 14.553 and 9.995 Å, with angles of 90.00, 90.00 and 90.00 degrees. The inequivalent atoms are Na at (0.000, 0.222, 0.250), Cu at (0.000, 0.461, 0.750), Te at (0.000, 0.092, 0.750), W at (0.000, 0.000, 0.000) and Se at (0.000, 0.375, 0.549).